K2UCuS5, optimized geometry, DFT PBE; space-group type = Cmc2_1, No. 36; VASP energy = -5.211 eV per atom; formation energy without anion corrections = -22.24 kcal/mol of atoms
1.0
1.9869 -9.4699 0.0000
1.9869 9.4699 0.0000
0.0000 0.0000 13.2057
K U Cu S
4 2 2 10
Cartesian
1.9869 7.3476 6.6029 K
1.9869 7.2185 1.8698 K
1.9869 -7.2185 8.4726 K
1.9869 -7.3476 0.0000 K
1.9869 5.5826 11.0104 U
1.9869 -5.5826 4.4076 U
1.9869 1.5109 3.2638 Cu
1.9869 -1.5109 9.8667 Cu
1.9869 8.1081 11.0768 S
1.9869 3.8832 6.1011 S
1.9869 3.8168 2.6916 S
1.9869 3.1505 10.8980 S
1.9869 0.1865 1.5319 S
1.9869 -0.1865 8.1348 S
1.9869 -3.1505 4.2951 S
1.9869 -3.8168 9.2944 S
1.9869 -3.8832 12.7040 S
1.9869 -8.1081 4.4740 S